Below is a geometry-optimized Nd12Hg5Ir2 structure, with properties calculated at the PBE level.

a = 9.280 Å, b = 9.280 Å, c = 9.310 Å
α = 106.47°, β = 106.47°, γ = 51.93°
Positions (direct):
Nd 0.021 0.021 0.323
Nd 0.070 0.585 0.319
Nd 0.078 0.677 0.941
Nd 0.323 0.922 0.059
Nd 0.415 0.930 0.681
Nd 0.421 0.421 0.656
Nd 0.579 0.579 0.344
Nd 0.585 0.070 0.319
Nd 0.677 0.078 0.941
Nd 0.922 0.323 0.059
Nd 0.930 0.415 0.681
Nd 0.979 0.979 0.677
Hg 0.216 0.216 0.422
Hg 0.268 0.268 0.976
Hg 0.500 0.500 0.000
Hg 0.732 0.732 0.024
Hg 0.784 0.784 0.578
Ir 0.277 0.723 0.500
Ir 0.723 0.277 0.500

Values from the calculation:
* energy of formation: -0.29 eV per atom
* total magnetic moment: 0.00 μB per cell